Compound: Sr2LiSnH
Source: the Alexandria database
Functional: GGA-PBE
Structure: relaxed

V ... 125.7 Å³/cell
Total energy ... -15.130 eV per formula unit
M_tot ... 0.000 μB per cell

Cell and atoms, written as POSCAR:
```
Sr2LiSnH
1.0
5.3145 0.0000 0.0000
0.0000 5.3145 0.0000
0.0000 0.0000 4.4517
Sr Sn H Li
2 1 1 1
direct
0.0000 0.5000 0.0000 Sr
0.5000 0.0000 0.0000 Sr
0.5000 0.5000 0.5000 Sn
0.0000 0.0000 0.0000 H
0.0000 0.0000 0.5000 Li
```

=====

Compound: TmZr2Sc
Source: the Alexandria database
Functional: GGA-PBE
Structure: relaxed

V ... 98.6 Å³/cell
Formation energy ... 0.059 eV per atom
M_tot ... 0.000 μB per cell

Cell and atoms, written as POSCAR:
```
TmZr2Sc
1.0
4.6604 0.0000 0.0000
0.0000 4.5990 0.0000
0.0000 0.0000 4.5990
Sc Tm Zr
1 1 2
direct
0.5000 0.0000 0.0000 Sc
0.5000 0.5000 0.5000 Tm
0.0000 0.0000 0.5000 Zr
0.0000 0.5000 0.0000 Zr
```

=====

Compound: P2IrPt
Source: the Alexandria database
Functional: GGA-PBE
Structure: relaxed

V ... 65.4 Å³/cell
Formation energy ... 0.237 eV per atom
M_tot ... 0.000 μB per cell

Cell and atoms, written as POSCAR:
```
P2IrPt
1.0
2.8067 -0.0027 0.0000
-1.4194 2.4214 0.0000
0.0000 0.0000 9.6257
Ir P Pt
1 2 1
direct
0.5000 0.5000 0.7580 Ir
0.0000 0.0000 0.9554 P
0.5000 0.5000 0.2897 P
0.0000 0.0000 0.4969 Pt
```

=====

Compound: FeCoOs2
Source: the Alexandria database
Functional: GGA-PBE
Structure: relaxed

V ... 49.9 Å³/cell
Formation energy ... 0.159 eV per atom
M_tot ... 0.149 μB per cell

Cell and atoms, written as POSCAR:
```
FeCoOs2
1.0
2.6161 0.0000 0.0000
0.0000 3.6581 0.0000
0.0000 0.0000 5.2117
Co Fe Os
1 1 2
direct
0.5000 0.5000 0.2500 Co
0.5000 0.5000 0.7500 Fe
0.0000 0.0000 0.9989 Os
0.0000 0.0000 0.5011 Os
```